(1)
Computed, not measured: a PBEsol-optimized structure of BaCuIr2 at the SCAN level of DFT.

Structure (CIF):
```
data_BaCuIr2
_space_group_name_H-M_alt 'R 3 m'
_space_group_IT_number 160
_space_group_name_Hall 'R 3 -2"'
_cell_length_a 4.3355
_cell_length_b 4.3355
_cell_length_c 16.4779
_cell_angle_alpha 90.00
_cell_angle_beta 90.00
_cell_angle_gamma 120.00
loop_
_atom_site_label
_atom_site_fract_x
_atom_site_fract_y
_atom_site_fract_z
_atom_site_occupancy
Ba1 0.0000 0.0000 0.0000 1
Cu1 0.0000 0.0000 0.1841 1
Ir1 0.0000 0.0000 0.4877 1
Ir2 0.0000 0.0000 0.8129 1
```

Calculated values
Distance to the lowest polymorph of the same formula   0 kJ/mol of formula units
Formation enthalpy at 0 K   -0.257 eV/atom

=====

(2)
Computed, not measured: a PBEsol-optimized structure of TaTc2Ir at the SCAN level of DFT.

Structure (CIF):
```
data_TaTc2Ir
_space_group_name_H-M_alt 'C m m m'
_space_group_IT_number 65
_space_group_name_Hall '-C 2 2'
_cell_length_a 5.507
_cell_length_b 7.808
_cell_length_c 2.755
_cell_angle_alpha 90.00
_cell_angle_beta 90.00
_cell_angle_gamma 90.00
loop_
_atom_site_label
_atom_site_fract_x
_atom_site_fract_y
_atom_site_fract_z
_atom_site_occupancy
Ta1 0.000 0.000 0.000 1
Tc1 0.250 0.250 0.500 1
Ir1 0.000 0.500 0.000 1
```

Calculated values
Distance to the lowest polymorph of the same formula   44 kJ/mol of formula units
Formation enthalpy at 0 K   -0.184 eV/atom

=====

(3)
Computed, not measured: a PBEsol-optimized structure of CoNi2Ag at the SCAN level of DFT.

Structure (CIF):
```
data_CoNi2Ag
_space_group_name_H-M_alt 'P 4/m m m'
_space_group_IT_number 123
_space_group_name_Hall '-P 4 2'
_cell_length_a 2.591
_cell_length_b 2.591
_cell_length_c 7.111
_cell_angle_alpha 90.00
_cell_angle_beta 90.00
_cell_angle_gamma 90.00
loop_
_atom_site_label
_atom_site_fract_x
_atom_site_fract_y
_atom_site_fract_z
_atom_site_occupancy
Co1 0.000 0.000 0.000 1
Ni1 0.500 0.500 0.220 1
Ag1 0.000 0.000 0.500 1
```

Calculated values
Formation enthalpy at 0 K   0.178 eV/atom

=====

(4)
Computed, not measured: a PBEsol-optimized structure of TaFeOs2 at the SCAN level of DFT.

Structure (CIF):
```
data_TaFeOs2
_space_group_name_H-M_alt 'I -4 m 2'
_space_group_IT_number 119
_space_group_name_Hall 'I -4 -2'
_cell_length_a 3.818
_cell_length_b 3.818
_cell_length_c 7.687
_cell_angle_alpha 90.00
_cell_angle_beta 90.00
_cell_angle_gamma 90.00
loop_
_atom_site_label
_atom_site_fract_x
_atom_site_fract_y
_atom_site_fract_z
_atom_site_occupancy
Ta1 0.000 0.000 0.000 1
Fe1 0.000 0.500 0.250 1
Os1 0.000 0.000 0.500 1
Os2 0.000 0.500 0.750 1
```

Calculated values
Formation enthalpy at 0 K   -0.104 eV/atom

=====

(5)
Computed, not measured: a PBEsol-optimized structure of CaZr2Ni at the SCAN level of DFT.

Structure (CIF):
```
data_CaZr2Ni
_space_group_name_H-M_alt 'R -3 m'
_space_group_IT_number 166
_space_group_name_Hall '-R 3 2"'
_cell_length_a 3.4504
_cell_length_b 3.4504
_cell_length_c 27.5537
_cell_angle_alpha 90.00
_cell_angle_beta 90.00
_cell_angle_gamma 120.00
loop_
_atom_site_label
_atom_site_fract_x
_atom_site_fract_y
_atom_site_fract_z
_atom_site_occupancy
Ca1 0.0000 0.0000 0.0000 1
Zr1 0.0000 0.0000 0.2234 1
Ni1 0.0000 0.0000 0.5000 1
```

Calculated values
Distance to the lowest polymorph of the same formula   9 kJ/mol of formula units
Formation enthalpy at 0 K   0.128 eV/atom

=====

(6)
Computed, not measured: a PBEsol-optimized structure of P2RhCl at the SCAN level of DFT.

Structure (CIF):
```
data_P2RhCl
_space_group_name_H-M_alt 'C m m m'
_space_group_IT_number 65
_space_group_name_Hall '-C 2 2'
_cell_length_a 4.819
_cell_length_b 8.295
_cell_length_c 2.945
_cell_angle_alpha 90.00
_cell_angle_beta 90.00
_cell_angle_gamma 90.00
loop_
_atom_site_label
_atom_site_fract_x
_atom_site_fract_y
_atom_site_fract_z
_atom_site_occupancy
P1 0.250 0.250 0.000 1
Rh1 0.000 0.000 0.500 1
Cl1 0.000 0.500 0.500 1
```

Calculated values
Formation energy without anion corrections   2.7 eV/f.u.
Distance to the lowest polymorph of the same formula   351 kJ/mol of formula units